Computed, not measured: a geometry-optimized Pr2TiGa3Pt4 structure at the PBE level of DFT.

Lattice parameters (Å, degrees): 4.206 4.206 11.058 90.00 90.00 90.00
Space group P-4m2 (No. 115)
One atom of each set of equivalent atoms:
1 Pr 0.000 0.500 0.245 (multiplicity 2)
2 Ti 0.000 0.000 0.500 (multiplicity 1)
3 Ga 0.000 0.500 0.868 (multiplicity 2)
4 Ga 0.500 0.500 0.500 (multiplicity 1)
5 Pt 0.000 0.000 0.000 (multiplicity 1)
6 Pt 0.000 0.500 0.639 (multiplicity 2)
7 Pt 0.500 0.500 0.000 (multiplicity 1)

Values from the calculation:
formation energy from the elements: -950 meV per atom
electronic total energy: -6.020 eV/atom
N(E_F): 6.87 states/eV/cell